(1)
A plane-wave DFT calculation with GGA-PBE was carried out for a relaxed LiCa2B2Rh5 crystal.

Cell lengths 3.007, 9.728, 9.728 Å; angles 90.00, 90.00, 90.00 degrees
Element x y z (fractional)
Ca 0.000 0.676 0.176
Ca 0.000 0.824 0.676
Ca 0.000 0.324 0.824
Ca 0.000 0.176 0.324
B 0.000 0.626 0.874
B 0.000 0.874 0.374
B 0.000 0.126 0.626
B 0.000 0.374 0.126
Li 0.000 0.000 0.000
Li 0.000 0.500 0.500
Rh 0.500 0.930 0.222
Rh 0.500 0.430 0.278
Rh 0.500 0.570 0.722
Rh 0.500 0.000 0.500
Rh 0.500 0.500 0.000
Rh 0.500 0.722 0.430
Rh 0.500 0.070 0.778
Rh 0.500 0.278 0.570
Rh 0.500 0.778 0.930
Rh 0.500 0.222 0.070

Results
space group: No. 127
ΔH_f (0 K): -10.34 kcal/mol of atoms

---

(2)
A plane-wave DFT calculation with GGA-PBE was carried out for a relaxed Tb4Y10Zr crystal.

Cell lengths 7.720, 8.854, 8.854 Å; angles 79.04, 64.15, 64.15 degrees
Element x y z (fractional)
Zr 0.000 0.000 0.000
Tb 0.771 0.457 0.000
Tb 0.229 0.543 0.000
Tb 0.771 0.000 0.457
Tb 0.229 0.000 0.543
Y 0.506 0.208 0.208
Y 0.922 0.792 0.792
Y 0.714 0.792 0.208
Y 0.250 0.500 0.500
Y 0.078 0.208 0.208
Y 0.286 0.208 0.792
Y 0.714 0.208 0.792
Y 0.494 0.792 0.792
Y 0.286 0.792 0.208
Y 0.750 0.500 0.500

Results
space group: No. 139
ΔH_f (0 K): 5.68 kcal/mol of atoms

---

(3)
A plane-wave DFT calculation with GGA-PBE was carried out for a relaxed SrPbO2 crystal.

Cell lengths 5.601, 5.601, 6.976 Å; angles 66.33, 66.33, 90.00 degrees
Element x y z (fractional)
Pb 0.000 0.000 0.000
Pb 0.750 0.250 0.500
O 0.622 0.125 0.250
O 0.375 0.378 0.750
O 0.875 0.872 0.750
O 0.128 0.625 0.250
Sr 0.250 0.750 0.500
Sr 0.500 0.500 0.000

Results
space group: No. 122
energy relative to the elements, uncorrected: -7.1 eV/f.u.

---

(4)
A plane-wave DFT calculation with GGA-PBE was carried out for a relaxed Mg2TcNi crystal.

Cell lengths 4.995, 4.995, 2.647 Å; angles 90.00, 90.00, 112.33 degrees
Element x y z (fractional)
Mg 0.500 0.500 0.000
Mg 0.000 0.000 0.000
Ni 0.500 0.000 0.500
Tc 0.000 0.500 0.500

Results
space group: No. 65
ΔH_f (0 K): 4.16 kcal/mol of atoms
energy above the most stable polymorph in this dataset: 114 meV/atom

---

(5)
A plane-wave DFT calculation with GGA-PBE was carried out for a relaxed Ta2Nb2Ga7 crystal.

Cell lengths 6.004, 6.185, 6.004 Å; angles 90.04, 102.33, 89.96 degrees
Element x y z (fractional)
Ga 0.000 0.000 0.000
Ga 0.000 0.296 0.500
Ga 0.500 0.710 0.500
Ga 0.500 0.290 0.500
Ga 0.000 0.704 0.500
Ga 0.500 0.296 0.000
Ga 0.500 0.704 0.000
Ta 0.171 0.500 0.171
Ta 0.829 0.500 0.829
Nb 0.723 0.000 0.277
Nb 0.277 0.000 0.723

Results
space group: No. 65
ΔH_f (0 K): 9.27 kcal/mol of atoms

---

(6)
A plane-wave DFT calculation with GGA-PBE was carried out for a relaxed AcCeAsSe crystal.

Cell lengths 5.309, 5.309, 5.309 Å; angles 60.00, 60.00, 60.00 degrees
Each line ends with the local moment (μB).
Element x y z (fractional)
Ce 0.500 0.500 0.500  1.03
As 0.750 0.750 0.750  -0.04
Se 0.250 0.250 0.250  -0.03
Ac 0.000 0.000 0.000  0.12

Results
space group: No. 216
energy relative to the elements, uncorrected: -5.5 eV/f.u.
energy above the most stable polymorph in this dataset: 182 meV/atom

---

(7)
A plane-wave DFT calculation with GGA-PBE was carried out for a relaxed TcSe2I crystal.

Cell lengths 10.631, 3.096, 15.943 Å; angles 90.00, 90.00, 90.00 degrees
Element x y z (fractional)
Tc 0.566 0.250 0.434
Tc 0.066 0.250 0.066
Tc 0.434 0.750 0.566
Tc 0.934 0.750 0.934
Se 0.115 0.250 0.915
Se 0.678 0.750 0.344
Se 0.322 0.250 0.656
Se 0.822 0.250 0.844
Se 0.885 0.750 0.085
Se 0.178 0.750 0.156
Se 0.385 0.750 0.415
Se 0.615 0.250 0.585
I 0.998 0.250 0.642
I 0.498 0.250 0.858
I 0.502 0.750 0.142
I 0.002 0.750 0.358

Results
space group: No. 62
energy relative to the elements, uncorrected: -0.7 eV/f.u.
energy above the most stable polymorph in this dataset: 21 meV/atom

---

(8)
A plane-wave DFT calculation with GGA-PBE was carried out for a relaxed Tb2ErThSc crystal.

Cell lengths 6.617, 7.710, 6.165 Å; angles 89.99, 90.00, 90.00 degrees
Element x y z (fractional)
Sc 0.000 0.000 0.500
Sc 0.000 0.000 0.000
Th 0.407 0.000 0.750
Th 0.593 0.000 0.250
Tb 0.721 0.293 0.750
Tb 0.279 0.707 0.250
Tb 0.279 0.293 0.250
Tb 0.721 0.707 0.750
Er 0.816 0.500 0.250
Er 0.184 0.500 0.750

Results
space group: No. 51
ΔH_f (0 K): 6.76 kcal/mol of atoms

---

(9)
A plane-wave DFT calculation with GGA-PBE was carried out for a relaxed K4ZrSb crystal.

Cell lengths 6.910, 6.910, 6.910 Å; angles 60.00, 60.00, 60.00 degrees
Each line ends with the local moment (μB).
Element x y z (fractional)
K 0.376 0.376 0.871  0.05
K 0.376 0.376 0.376  0.05
K 0.871 0.376 0.376  0.05
K 0.376 0.871 0.376  0.05
Zr 0.000 0.000 0.000  1.78
Sb 0.750 0.750 0.750  -0.03

Results
space group: No. 216
energy relative to the elements, uncorrected: 4.3 eV/f.u.

---

(10)
A plane-wave DFT calculation with GGA-PBE was carried out for a relaxed Th2ScGe4Pt3 crystal.

Cell lengths 4.311, 4.311, 10.795 Å; angles 90.00, 90.00, 90.00 degrees
Element x y z (fractional)
Ge 0.000 0.500 0.353
Ge 0.500 0.500 0.000
Ge 0.500 0.000 0.647
Ge 0.000 0.000 0.000
Th 0.000 0.500 0.760
Th 0.500 0.000 0.240
Pt 0.000 0.500 0.122
Pt 0.000 0.000 0.500
Pt 0.500 0.000 0.878
Sc 0.500 0.500 0.500

Results
space group: No. 115
ΔH_f (0 K): -21.33 kcal/mol of atoms

---

(11)
A plane-wave DFT calculation with GGA-PBE was carried out for a relaxed TiV6W crystal.

Cell lengths 4.317, 8.629, 5.284 Å; angles 144.74, 90.00, 90.00 degrees
Element x y z (fractional)
Ti 0.000 0.878 0.756
V 0.000 0.880 0.252
V 0.500 0.132 0.264
V 0.000 0.372 0.252
V 0.500 0.121 0.748
V 0.000 0.372 0.745
V 0.500 0.626 0.748
W 0.500 0.617 0.235

Results
space group: No. 38
ΔH_f (0 K): 0.48 kcal/mol of atoms
energy above the most stable polymorph in this dataset: 0 meV/atom

---

(12)
A plane-wave DFT calculation with GGA-PBE was carried out for a relaxed Mn2InCo crystal.

Cell lengths 8.486, 8.486, 8.486 Å; angles 19.47, 19.47, 19.47 degrees
Each line ends with the local moment (μB).
Element x y z (fractional)
Mn 0.248 0.248 0.248  2.87
Mn 0.992 0.992 0.992  -2.96
Co 0.508 0.508 0.508  1.42
In 0.753 0.753 0.753  0.02

Results
space group: No. 160
ΔH_f (0 K): 8.32 kcal/mol of atoms

---

So what do the calculations give for VASP energy? Going down the list: -6.051; -5.868; -5.592; -4.654; -5.510; -5.909; -4.908; -5.222; -2.124; -6.701; -9.424; -6.685 eV per atom.